VASP calculation (PBE) on SrTaCr2 after structural relaxation.

Structure (extended XYZ):
```
4
Lattice="-0.228 -2.862 -6.101 3.137 -5.369 -2.609 -3.935 3.000 4.581" Properties=species:S:1:pos:R:3 pbc="T T T"
Cr 0.244 -3.006 -0.942
Cr 0.302 -0.855 -0.905
Sr 1.324 -3.745 -3.964
Ta -1.442 -1.740 -2.675
```

Results
Total magnetic moment: 0.000 μB/atom
Formation energy: 0.77 eV/atom
V: 87.04 Å³/f.u.
Total energy: -29.72 eV/cell